{"formula": "Li4Pm3Ge4", "functional": "PBE", "state": "relaxed", "lattice_angstrom": [[-2.1987, 3.3972, 7.3084], [2.1987, -3.3972, 7.3084], [2.1987, 3.3972, -7.3084]], "species": ["Ge", "Ge", "Ge", "Ge", "Li", "Li", "Li", "Li", "Pm", "Pm", "Pm"], "frac_coords": [[0.3128, 0.0000, 0.3128], [0.7862, 0.2862, 0.5000], [0.2138, 0.7138, 0.5000], [0.6872, 0.0000, 0.6872], [0.3611, 0.1713, 0.1898], [0.0185, 0.8287, 0.1898], [0.9815, 0.1713, 0.8102], [0.6389, 0.8287, 0.8102], [0.3696, 0.3696, 0.0000], [0.6304, 0.6304, 0.0000], [0.0000, 0.5000, 0.5000]], "dft_energy_ev_per_cell": -47.79, "sg": "Immm, No. 71"}

***

{"formula": "LiPmGe", "functional": "PBE", "state": "relaxed", "lattice_angstrom": [[-2.6415, 3.0619, 1.5041], [-3.3519, -2.6832, -0.4244], [1.0219, -2.3014, 6.4795]], "species": ["Ge", "Ge", "Li", "Li", "Pm", "Pm"], "frac_coords": [[0.0000, 0.5000, 0.2630], [0.5000, 0.0000, 0.7370], [0.0000, 0.0000, 0.5000], [0.5000, 0.5000, 0.5000], [0.5000, 0.0000, 0.1763], [0.0000, 0.5000, 0.8237]], "polymorph_energy_mev_per_atom": 0, "dft_energy_ev_per_cell": -26.55, "sg": "P4/nmm, No. 129"}

***

{"formula": "Li2Pm3Ge4", "functional": "PBE", "state": "relaxed", "lattice_angstrom": [[5.4744, -2.1578, 0.0000], [5.4744, 2.1578, 0.0000], [-2.3736, 0.0000, 8.0846]], "species": ["Ge", "Ge", "Ge", "Ge", "Li", "Li", "Pm", "Pm", "Pm"], "frac_coords": [[0.9304, 0.9304, 0.1042], [0.2900, 0.2900, 0.4405], [0.7100, 0.7100, 0.5595], [0.0696, 0.0696, 0.8958], [0.3390, 0.3390, 0.1675], [0.6610, 0.6610, 0.8325], [0.6420, 0.6420, 0.1822], [0.0000, 0.0000, 0.5000], [0.3580, 0.3580, 0.8178]], "dft_energy_ev_per_cell": -42.95, "sg": "C2/m, No. 12"}

***

{"formula": "LiPrGe", "functional": "PBE", "state": "relaxed", "lattice_angstrom": [[7.1000, 0.0000, 0.0000], [-3.5500, 6.1488, 0.0000], [0.0000, 0.0000, 4.3774]], "species": ["Ge", "Ge", "Ge", "Li", "Li", "Li", "Pr", "Pr", "Pr"], "frac_coords": [[0.2500, 0.0000, 0.0000], [0.0000, 0.2500, 0.0000], [0.7500, 0.7500, 0.0000], [0.6667, 0.3333, 0.0000], [0.3333, 0.6667, 0.0000], [0.0000, 0.0000, 0.5000], [0.5845, 0.0000, 0.5000], [0.4155, 0.4155, 0.5000], [0.0000, 0.5845, 0.5000]], "dft_energy_ev_per_cell": -37.49, "sg": "P-62m, No. 189"}

***

{"formula": "LiPrGe", "functional": "PBE", "state": "relaxed", "lattice_angstrom": [[-6.5250, 1.4538, -3.2912], [0.8351, -3.1361, -3.0408], [-3.5894, -5.5000, 4.6866]], "species": ["Ge", "Ge", "Ge", "Ge", "Li", "Li", "Li", "Li", "Pr", "Pr", "Pr", "Pr"], "frac_coords": [[0.2687, 0.2500, 0.1026], [0.7687, 0.2500, 0.3974], [0.2313, 0.7500, 0.6026], [0.7313, 0.7500, 0.8974], [0.6577, 0.2500, 0.0686], [0.1577, 0.2500, 0.4314], [0.8423, 0.7500, 0.5686], [0.3423, 0.7500, 0.9314], [0.9873, 0.7500, 0.2041], [0.4873, 0.7500, 0.2959], [0.5127, 0.2500, 0.7041], [0.0127, 0.2500, 0.7959]], "dft_energy_ev_per_cell": -53.14, "sg": "Pnma, No. 62"}

***

{"formula": "LiPrGe", "functional": "PBE", "state": "relaxed", "lattice_angstrom": [[4.5133, 0.0000, 0.0000], [-2.2566, 3.9086, 0.0000], [0.0000, 0.0000, 7.6484]], "species": ["Ge", "Ge", "Li", "Li", "Pr", "Pr"], "frac_coords": [[0.6667, 0.3333, 0.2500], [0.3333, 0.6667, 0.7500], [0.3333, 0.6667, 0.2500], [0.6667, 0.3333, 0.7500], [0.0000, 0.0000, 0.0000], [0.0000, 0.0000, 0.5000]], "dft_energy_ev_per_cell": -26.58, "sg": "P6_3/mmc, No. 194"}

***

{"formula": "LiPrGe", "functional": "PBE", "state": "relaxed", "lattice_angstrom": [[-4.5938, 5.0481, -2.6564], [-1.2546, -7.1083, -1.2417], [-2.3794, -0.2243, 3.6884]], "species": ["Ge", "Ge", "Ge", "Li", "Li", "Li", "Pr", "Pr", "Pr"], "frac_coords": [[0.6667, 0.3333, 0.0000], [0.3333, 0.6667, 0.0000], [0.0000, 0.0000, 0.5000], [0.2315, 0.0000, 0.0000], [0.0000, 0.2315, 0.0000], [0.7685, 0.7685, 0.0000], [0.5792, 0.0000, 0.5000], [0.4208, 0.4208, 0.5000], [0.0000, 0.5792, 0.5000]], "dft_energy_ev_per_cell": -40.01, "sg": "P-62m, No. 189"}

***

{"formula": "LiPrGe", "functional": "PBE", "state": "relaxed", "lattice_angstrom": [[-2.8152, 2.9944, 6.3026], [-4.0636, -1.7151, -1.0002], [1.7943, -6.5268, 3.9024]], "species": ["Ge", "Ge", "Ge", "Ge", "Li", "Li", "Li", "Li", "Pr", "Pr", "Pr", "Pr"], "frac_coords": [[0.2745, 0.7500, 0.0883], [0.7745, 0.7500, 0.4117], [0.2255, 0.2500, 0.5883], [0.7255, 0.2500, 0.9117], [0.6823, 0.7500, 0.0822], [0.1823, 0.7500, 0.4178], [0.8177, 0.2500, 0.5822], [0.3177, 0.2500, 0.9178], [0.9944, 0.2500, 0.2195], [0.4944, 0.2500, 0.2805], [0.5056, 0.7500, 0.7195], [0.0056, 0.7500, 0.7805]], "dft_energy_ev_per_cell": -53.17, "sg": "Pnma, No. 62"}

***

{"formula": "LiPrGe", "functional": "PBE", "state": "relaxed", "lattice_angstrom": [[5.1212, 0.0000, 0.0000], [-2.5606, 4.4351, 0.0000], [0.0000, 0.0000, 6.2191]], "species": ["Ge", "Ge", "Li", "Li", "Pr", "Pr"], "frac_coords": [[0.3333, 0.6667, 0.2500], [0.6667, 0.3333, 0.7500], [0.0000, 0.0000, 0.0000], [0.0000, 0.0000, 0.5000], [0.6667, 0.3333, 0.2500], [0.3333, 0.6667, 0.7500]], "dft_energy_ev_per_cell": -26.30, "sg": "P6_3/mmc, No. 194"}

***

{"formula": "LiPrGe", "functional": "PBE", "state": "relaxed", "lattice_angstrom": [[4.5119, 0.0000, 0.0000], [-2.2559, 3.9074, 0.0000], [0.0000, 0.0000, 7.5875]], "species": ["Ge", "Ge", "Li", "Li", "Pr", "Pr"], "frac_coords": [[0.3333, 0.6667, 0.4776], [0.6667, 0.3333, 0.9776], [0.3333, 0.6667, 0.0224], [0.6667, 0.3333, 0.5224], [0.0000, 0.0000, 0.2500], [0.0000, 0.0000, 0.7500]], "dft_energy_ev_per_cell": -26.57, "sg": "P6_3mc, No. 186"}

***

{"formula": "LiPrGe", "functional": "PBE", "state": "relaxed", "lattice_angstrom": [[0.0000, 3.2245, 3.2245], [3.2245, 0.0000, 3.2245], [3.2245, 3.2245, 0.0000]], "species": ["Ge", "Li", "Pr"], "frac_coords": [[0.2500, 0.2500, 0.2500], [0.0000, 0.0000, 0.0000], [0.7500, 0.7500, 0.7500]], "dft_energy_ev_per_cell": -12.68, "sg": "F-43m, No. 216"}

***

{"formula": "LiPrGe", "functional": "PBE", "state": "relaxed", "lattice_angstrom": [[-5.0046, 4.9616, 3.8556], [-2.8713, -5.1866, -5.4207], [-0.5112, -2.8310, 2.9796]], "species": ["Ge", "Ge", "Ge", "Li", "Li", "Li", "Pr", "Pr", "Pr"], "frac_coords": [[0.6667, 0.3333, 0.0000], [0.3333, 0.6667, 0.0000], [0.0000, 0.0000, 0.5000], [0.6007, 0.0000, 0.5000], [0.3993, 0.3993, 0.5000], [0.0000, 0.6007, 0.5000], [0.2725, 0.0000, 0.0000], [0.0000, 0.2725, 0.0000], [0.7275, 0.7275, 0.0000]], "dft_energy_ev_per_cell": -37.38, "sg": "P-62m, No. 189"}

***

{"formula": "Li4Pr3Ge4", "functional": "PBE", "state": "relaxed", "lattice_angstrom": [[-2.2286, 3.4315, 7.4036], [2.2286, -3.4315, 7.4036], [2.2286, 3.4315, -7.4036]], "species": ["Ge", "Ge", "Ge", "Ge", "Li", "Li", "Li", "Li", "Pr", "Pr", "Pr"], "frac_coords": [[0.2133, 0.2133, 0.0000], [0.7867, 0.7867, 0.0000], [0.6850, 0.5000, 0.1850], [0.3150, 0.5000, 0.8150], [0.6389, 0.3293, 0.3096], [0.9803, 0.6707, 0.3096], [0.3611, 0.6707, 0.6904], [0.0197, 0.3293, 0.6904], [0.0000, 0.0000, 0.0000], [0.6316, 0.1316, 0.5000], [0.3684, 0.8684, 0.5000]], "dft_energy_ev_per_cell": -47.78, "sg": "Immm, No. 71"}

***

{"formula": "Li3Pr3SiGe2", "functional": "PBE", "state": "relaxed", "lattice_angstrom": [[7.3298, 0.0000, 0.0000], [-3.6649, 6.3478, 0.0000], [0.0000, 0.0000, 4.3849]], "species": ["Ge", "Ge", "Li", "Li", "Li", "Pr", "Pr", "Pr", "Si"], "frac_coords": [[0.6667, 0.3333, 0.5000], [0.3333, 0.6667, 0.5000], [0.2313, 0.0000, 0.5000], [0.0000, 0.2313, 0.5000], [0.7687, 0.7687, 0.5000], [0.5829, 0.0000, 0.0000], [0.4171, 0.4171, 0.0000], [0.0000, 0.5829, 0.0000], [0.0000, 0.0000, 0.0000]], "dft_energy_ev_per_cell": -40.36, "sg": "P-62m, No. 189"}

***

{"formula": "LiGePt", "functional": "PBE", "state": "relaxed", "lattice_angstrom": [[-0.1102, -4.0933, -0.7004], [-3.6513, -1.9597, -0.2924], [-1.2937, -1.4446, -3.6739]], "species": ["Ge", "Li", "Pt"], "frac_coords": [[0.2500, 0.2500, 0.2500], [0.7500, 0.7500, 0.7500], [0.0000, 0.0000, 0.0000]], "dft_energy_ev_per_cell": -14.09, "sg": "F-43m, No. 216"}

***

{"formula": "Li2Sc2SnGePt2", "functional": "PBE", "state": "relaxed", "lattice_angstrom": [[-4.3597, -0.4768, 1.0991], [1.1690, -0.7849, 4.2965], [-0.3728, 6.2932, 1.2511]], "species": ["Ge", "Li", "Li", "Pt", "Pt", "Sc", "Sc", "Sn"], "frac_coords": [[0.0000, 0.0000, 0.5000], [0.0000, 0.5000, 0.2659], [0.5000, 0.0000, 0.7341], [0.5000, 0.0000, 0.2614], [0.0000, 0.5000, 0.7386], [0.0000, 0.0000, 0.0000], [0.5000, 0.5000, 0.5000], [0.5000, 0.5000, 0.0000]], "dft_energy_ev_per_cell": -44.45, "sg": "P-4m2, No. 115"}

***

{"formula": "Li4SiGePt2", "functional": "PBE", "state": "relaxed", "lattice_angstrom": [[4.2140, 0.0000, 0.0000], [0.0000, 4.2140, 0.0000], [0.0000, 0.0000, 5.9708]], "species": ["Ge", "Li", "Li", "Li", "Li", "Pt", "Pt", "Si"], "frac_coords": [[0.0000, 0.0000, 0.0000], [0.5000, 0.5000, 0.0000], [0.0000, 0.5000, 0.2525], [0.0000, 0.0000, 0.5000], [0.5000, 0.0000, 0.7475], [0.5000, 0.0000, 0.2644], [0.0000, 0.5000, 0.7355], [0.5000, 0.5000, 0.5000]], "dft_energy_ev_per_cell": -35.06, "sg": "P-4m2, No. 115"}

***

{"formula": "Li4SnGePt2", "functional": "PBE", "state": "relaxed", "lattice_angstrom": [[4.3404, 0.0000, 0.0000], [0.0000, 4.3404, 0.0000], [0.0000, 0.0000, 6.2790]], "species": ["Ge", "Li", "Li", "Li", "Li", "Pt", "Pt", "Sn"], "frac_coords": [[0.0000, 0.0000, 0.0000], [0.5000, 0.5000, 0.0000], [0.0000, 0.5000, 0.2268], [0.0000, 0.0000, 0.5000], [0.5000, 0.0000, 0.7732], [0.5000, 0.0000, 0.2308], [0.0000, 0.5000, 0.7692], [0.5000, 0.5000, 0.5000]], "dft_energy_ev_per_cell": -33.54, "sg": "P-4m2, No. 115"}

***

{"formula": "Li4TlGePt2", "functional": "PBE", "state": "relaxed", "lattice_angstrom": [[-2.1211, 1.8869, 3.2853], [-1.7623, -3.8244, 1.0588], [4.9745, -1.2107, 3.9070]], "species": ["Ge", "Li", "Li", "Li", "Li", "Pt", "Pt", "Tl"], "frac_coords": [[0.0000, 0.0000, 0.0000], [0.5000, 0.5000, 0.0000], [0.0000, 0.5000, 0.2294], [0.0000, 0.0000, 0.5000], [0.5000, 0.0000, 0.7706], [0.5000, 0.0000, 0.2124], [0.0000, 0.5000, 0.7876], [0.5000, 0.5000, 0.5000]], "dft_energy_ev_per_cell": -31.03, "sg": "P-4m2, No. 115"}

***

{"formula": "LiTlGePt", "functional": "PBE", "state": "relaxed", "lattice_angstrom": [[3.8848, -1.0554, -2.3382], [2.7666, -3.4266, 1.5089], [0.2720, -3.9912, -2.3809]], "species": ["Ge", "Li", "Pt", "Tl"], "frac_coords": [[0.5000, 0.5000, 0.5000], [0.7500, 0.7500, 0.7500], [0.2500, 0.2500, 0.2500], [0.0000, 0.0000, 0.0000]], "polymorph_energy_mev_per_atom": 0, "dft_energy_ev_per_cell": -15.77, "sg": "F-43m, No. 216"}

***

{"formula": "LiTlGePt", "functional": "PBE", "state": "relaxed", "lattice_angstrom": [[0.0000, 3.3083, 3.3083], [3.3083, 0.0000, 3.3083], [3.3083, 3.3083, 0.0000]], "species": ["Ge", "Li", "Pt", "Tl"], "frac_coords": [[0.2500, 0.2500, 0.2500], [0.7500, 0.7500, 0.7500], [0.5000, 0.5000, 0.5000], [0.0000, 0.0000, 0.0000]], "polymorph_energy_mev_per_atom": 80, "dft_energy_ev_per_cell": -15.45, "sg": "F-43m, No. 216"}

***

{"formula": "LiYGePt", "functional": "PBE", "state": "relaxed", "lattice_angstrom": [[0.0000, 3.3466, 3.3466], [3.3466, 0.0000, 3.3466], [3.3466, 3.3466, 0.0000]], "species": ["Ge", "Li", "Pt", "Y"], "frac_coords": [[0.0000, 0.0000, 0.0000], [0.7500, 0.7500, 0.7500], [0.5000, 0.5000, 0.5000], [0.2500, 0.2500, 0.2500]], "polymorph_energy_mev_per_atom": 147, "dft_energy_ev_per_cell": -21.79, "sg": "F-43m, No. 216"}

***

{"formula": "LiYGePt", "functional": "PBE", "state": "relaxed", "lattice_angstrom": [[3.8532, -1.9330, -1.6527], [0.1039, -4.5240, -0.9151], [0.1534, -1.4673, -4.3748]], "species": ["Ge", "Li", "Pt", "Y"], "frac_coords": [[0.5000, 0.5000, 0.5000], [0.7500, 0.7500, 0.7500], [0.2500, 0.2500, 0.2500], [0.0000, 0.0000, 0.0000]], "polymorph_energy_mev_per_atom": 0, "dft_energy_ev_per_cell": -22.38, "sg": "F-43m, No. 216"}

***

{"formula": "LiYGePt", "functional": "PBE", "state": "relaxed", "lattice_angstrom": [[0.0000, 3.2504, 3.2504], [3.2504, 0.0000, 3.2504], [3.2504, 3.2504, 0.0000]], "species": ["Ge", "Li", "Pt", "Y"], "frac_coords": [[0.2500, 0.2500, 0.2500], [0.7500, 0.7500, 0.7500], [0.5000, 0.5000, 0.5000], [0.0000, 0.0000, 0.0000]], "polymorph_energy_mev_per_atom": 103, "dft_energy_ev_per_cell": -21.97, "sg": "F-43m, No. 216"}

***

{"formula": "LiReGe", "functional": "PBE", "state": "relaxed", "lattice_angstrom": [[0.0000, 2.8930, 2.8930], [2.8930, 0.0000, 2.8930], [2.8930, 2.8930, 0.0000]], "species": ["Ge", "Li", "Re"], "frac_coords": [[0.0000, 0.0000, 0.0000], [0.2500, 0.2500, 0.2500], [0.7500, 0.7500, 0.7500]], "polymorph_energy_mev_per_atom": 0, "dft_energy_ev_per_cell": -17.56, "sg": "F-43m, No. 216"}

***

{"formula": "LiReGe", "functional": "PBE", "state": "relaxed", "lattice_angstrom": [[0.0000, 2.9369, 2.9369], [2.9369, 0.0000, 2.9369], [2.9369, 2.9369, 0.0000]], "species": ["Ge", "Li", "Re"], "frac_coords": [[0.2500, 0.2500, 0.2500], [0.7500, 0.7500, 0.7500], [0.0000, 0.0000, 0.0000]], "polymorph_energy_mev_per_atom": 257, "dft_energy_ev_per_cell": -16.79, "sg": "F-43m, No. 216"}